# 1
A relaxed Na2SnAs2Pd5 crystal, computed with PBE-GGA.

Summary:
* density of states at the Fermi level: 0.251 states/eV/atom
* E_form: -429 meV/atom
* volume: 18.54 Å³/atom
* magnetization: 0.0 Bohr magnetons per cell
* VASP energy: -46.197 eV/f.u.

Lattice parameters (Å, degrees): 10.715 10.715 3.229 90.00 90.00 90.00
Atoms (fractional coordinates):
Na1 0.174 0.326 0.000
Na2 0.326 0.826 0.000
Na3 0.674 0.174 0.000
Na4 0.826 0.674 0.000
Sn1 0.000 0.000 0.000
Sn2 0.500 0.500 0.000
As1 0.129 0.629 0.000
As2 0.371 0.129 0.000
As3 0.629 0.871 0.000
As4 0.871 0.371 0.000
Pd1 0.000 0.500 0.500
Pd2 0.058 0.800 0.500
Pd3 0.200 0.058 0.500
Pd4 0.300 0.558 0.500
Pd5 0.442 0.300 0.500
Pd6 0.500 0.000 0.500
Pd7 0.558 0.700 0.500
Pd8 0.700 0.442 0.500
Pd9 0.800 0.942 0.500
Pd10 0.942 0.200 0.500

---

# 2
A relaxed NbPtAu2 crystal, computed with PBE-GGA.

Summary:
* density of states at the Fermi level: 0.512 states/eV/atom
* E_form: -110 meV/atom
* volume: 17.25 Å³/atom
* magnetization: 0.0 Bohr magnetons per cell
* VASP energy: -23.107 eV/f.u.

Lattice parameters (Å, degrees): 6.511 6.511 6.511 90.00 90.00 90.00
Atoms (fractional coordinates):
Nb1 0.000 0.000 0.000
Nb2 0.000 0.500 0.500
Nb3 0.500 0.000 0.500
Nb4 0.500 0.500 0.000
Pt1 0.000 0.000 0.500
Pt2 0.000 0.500 0.000
Pt3 0.500 0.000 0.000
Pt4 0.500 0.500 0.500
Au1 0.250 0.250 0.250
Au2 0.250 0.250 0.750
Au3 0.250 0.750 0.250
Au4 0.250 0.750 0.750
Au5 0.750 0.250 0.250
Au6 0.750 0.250 0.750
Au7 0.750 0.750 0.250
Au8 0.750 0.750 0.750

---

# 3
A relaxed ScFeTcOs2 crystal, computed with PBE-GGA.

Summary:
* density of states at the Fermi level: 1.745 states/eV/atom
* E_form: 2490 meV/atom
* volume: 18.55 Å³/atom
* magnetization: 0.1 Bohr magnetons per cell
* energy above the lowest structure with this stoichiometry: 1312 meV per atom
* VASP energy: -35.168 eV/f.u.

Lattice parameters (Å, degrees): 4.558 4.558 4.464 90.00 90.00 90.00
Atoms (fractional coordinates):
Sc1 0.000 0.000 0.000
Fe1 0.500 0.500 0.500
Tc1 0.000 0.000 0.500
Os1 0.000 0.500 0.000
Os2 0.500 0.000 0.000